PBE-GGA LiCo3C, optimized geometry; E_tot = -6.4277 eV per atom
1.0
2.4448 -4.2905 0.0000
2.4448 4.2905 0.0000
0.0000 0.0000 4.7983
Li Co C
2 6 2
Cartesian
2.4448 3.9531 2.3991 Li
2.4448 -3.9531 0.0000 Li
1.2222 1.8032 3.0749 Co
2.4448 0.3928 1.4002 Co
1.2222 -1.8032 0.6757 Co
3.6675 1.8032 3.0749 Co
2.4448 -0.3928 3.7994 Co
3.6675 -1.8032 0.6757 Co
2.4448 1.3629 4.5188 C
2.4448 -1.3629 2.1196 C

=====

PBE-GGA LiMgCo2C, optimized geometry; E_tot = -5.4577 eV per atom
1.0
3.7065 0.0000 0.0000
0.0000 3.7065 0.0000
0.0000 0.0000 4.0521
Li Mg Co C
1 1 2 1
Cartesian
0.0000 0.0000 0.0000 Li
1.8533 1.8533 0.0000 Mg
0.0000 1.8533 2.0261 Co
1.8533 0.0000 2.0261 Co
0.0000 0.0000 2.0261 C

=====

PBE-GGA LiY2CoC, optimized geometry; E_tot = -6.4673 eV per atom
1.0
4.9921 0.0000 0.0000
0.0000 4.9921 0.0000
0.0000 0.0000 3.6477
Li Y Co C
1 2 1 1
Cartesian
0.0000 0.0000 0.0000 Li
0.0000 2.4960 1.8239 Y
2.4960 0.0000 1.8239 Y
2.4960 2.4960 0.0000 Co
2.4960 2.4960 1.8239 C

=====

PBE-GGA LuCoC2, optimized geometry; E_tot = -7.8818 eV per atom
1.0
3.4255 0.0000 0.0000
0.0000 2.2370 2.9828
0.0000 -2.2370 2.9828
Lu Co C
1 1 2
Cartesian
0.0000 0.0000 0.0000 Lu
1.7128 0.0000 2.2915 Co
1.7128 -0.6904 4.1446 C
1.7128 0.6904 4.1446 C

=====

PBE-GGA Lu2CoC, optimized geometry; E_tot = -6.4090 eV per atom
1.0
3.4412 0.0000 0.0000
-1.7206 2.9802 0.0000
0.0000 0.0000 13.4692
Lu Co C
4 2 2
Cartesian
0.0000 1.9868 1.3341 Lu
0.0000 1.9868 5.4005 Lu
1.7206 0.9934 8.0686 Lu
1.7206 0.9934 12.1351 Lu
0.0000 1.9868 10.1019 Co
1.7206 0.9934 3.3673 Co
0.0000 0.0000 0.0000 C
0.0000 0.0000 6.7346 C

=====

PBE-GGA Lu4CoC3, optimized geometry; E_tot = -6.6959 eV per atom
1.0
3.4471 0.0000 0.0000
-1.7236 2.9853 0.0000
0.0000 0.0000 25.0907
Lu Co C
8 2 6
Cartesian
0.0000 0.0000 4.2085 Lu
0.0000 0.0000 8.3369 Lu
0.0000 0.0000 16.7539 Lu
0.0000 0.0000 20.8822 Lu
0.0000 1.9902 1.4479 Lu
0.0000 1.9902 11.0975 Lu
1.7236 0.9951 13.9932 Lu
1.7236 0.9951 23.6428 Lu
0.0000 1.9902 6.2727 Co
1.7236 0.9951 18.8180 Co
0.0000 0.0000 0.0000 C
0.0000 0.0000 12.5454 C
0.0000 1.9902 15.4943 C
0.0000 1.9902 22.1418 C
1.7236 0.9951 2.9489 C
1.7236 0.9951 9.5964 C

=====

> Which formula does entry 3 have?

LiY2CoC